No. 1
Density functional theory data (PBE) for an optimized crystal structure of Er2SiBr.

```
Er2SiBr
1.0
-3.108 1.083 -2.487
-0.228 -1.555 -3.813
-4.903 -5.507 0.308
Si Br Er
1 1 2
Cartesian
0.000 0.000 0.000
-4.119 -2.990 -2.996
-1.880 -1.242 -1.612
-6.358 -4.737 -4.380
```

Properties
E_form (uncorrected), eV/atom: -0.974
Crystal system: trigonal
Space-group type: R-3m, No. 166
Total DFT energy (no corrections), eV/atom: -5.0298

---

No. 2
Density functional theory data (PBE) for an optimized crystal structure of SmErBr3.

```
SmErBr3
1.0
-2.726 -0.835 2.677
4.346 -6.590 5.227
3.788 4.599 8.149
Sm Er Br
2 2 6
Cartesian
2.381 3.106 6.250
3.027 -5.933 9.802
3.251 2.853 9.913
2.158 -5.679 6.139
0.814 0.547 6.713
4.594 -3.373 9.340
5.803 -0.703 11.404
-0.395 -2.124 4.649
1.589 0.537 10.356
3.819 -3.364 5.696
```

Properties
E_form (uncorrected), eV/atom: -1.501
Crystal system: monoclinic
Space-group type: C2/m, No. 12
Total DFT energy (no corrections), eV/atom: -4.3610